Entry 1:
Below is CdAu2Se after structural relaxation, with properties calculated at the PBEsol level.

Cell lengths 3.666, 3.666, 5.586 Å; angles 90.00, 90.00, 90.00 degrees
Element x y z (fractional)
1 Cd 0.000 0.000 0.000
2 Au 0.500 0.500 0.247
3 Au 0.500 0.500 0.753
4 Se 0.000 0.000 0.500

Results
SG ... No. 123
Size of the total moment ... 0.00 μB/f.u.
Calculated volume ... 75.05 Å³ per cell
E above lowest polymorph ... 0.00 eV/f.u.
Formation energy without anion corrections ... 0.004 eV/atom

Entry 2:
Below is LaBe3F after structural relaxation, with properties calculated at the PBEsol level.

Cell lengths 5.643, 5.643, 5.643 Å; angles 90.00, 90.00, 90.00 degrees
Element x y z (fractional)
1 La 0.000 0.000 0.000
2 Be 0.000 0.000 0.500
3 Be 0.000 0.500 0.000
4 Be 0.500 0.000 0.000
5 F 0.500 0.500 0.500

Results
SG ... No. 221
Size of the total moment ... 0.00 μB/f.u.
Calculated volume ... 179.68 Å³ per cell
Formation energy without anion corrections ... 1.843 eV/atom

Entry 3:
Below is Mg5Be after structural relaxation, with properties calculated at the PBEsol level.

Cell lengths 5.304, 5.304, 4.854 Å; angles 90.00, 90.00, 120.00 degrees
Element x y z (fractional)
1 Mg 0.000 0.316 0.000
2 Mg 0.316 0.000 0.000
3 Mg 0.333 0.667 0.500
4 Mg 0.667 0.333 0.500
5 Mg 0.684 0.684 0.000
6 Be 0.000 0.000 0.500

Results
SG ... No. 189
Calculated formation energy ... 1.16 eV per formula unit
Size of the total moment ... 0.00 μB/f.u.
Calculated volume ... 118.27 Å³ per cell
E above lowest polymorph ... 0.29 eV/f.u.

Entry 4:
Below is Ti2CoNi after structural relaxation, with properties calculated at the PBEsol level.

Cell lengths 2.921, 2.921, 6.019 Å; angles 90.00, 90.00, 90.00 degrees
Element x y z (fractional)
1 Ti 0.000 0.000 0.246
2 Ti 0.000 0.000 0.754
3 Co 0.500 0.500 0.000
4 Ni 0.500 0.500 0.500

Results
SG ... No. 123
Calculated formation energy ... -1.49 eV per formula unit
Size of the total moment ... 0.28 μB/f.u.
Calculated volume ... 51.34 Å³ per cell

Entry 5:
Below is Li3SnP2O8 after structural relaxation, with properties calculated at the PBEsol level.

Cell lengths 8.348, 8.348, 7.639 Å; angles 90.00, 90.00, 120.00 degrees
Element x y z (fractional)
1 Li 0.000 0.000 0.000
2 Li 0.004 0.326 0.875
3 Li 0.322 0.996 0.875
4 Li 0.333 0.667 0.023
5 Li 0.357 0.350 0.148
6 Li 0.650 0.007 0.148
7 Li 0.667 0.333 0.888
8 Li 0.674 0.678 0.875
9 Li 0.993 0.643 0.148
10 Sn 0.000 0.000 0.567
11 Sn 0.333 0.667 0.469
12 Sn 0.667 0.333 0.468
13 P 0.009 0.651 0.761
14 P 0.301 0.007 0.263
15 P 0.349 0.358 0.761
16 P 0.642 0.991 0.761
17 P 0.707 0.699 0.263
18 P 0.993 0.293 0.263
19 O 0.060 0.575 0.599
20 O 0.090 0.868 0.743
21 O 0.096 0.618 0.926
22 O 0.132 0.222 0.743
23 O 0.204 0.432 0.269
24 O 0.228 0.796 0.269
25 O 0.235 0.058 0.095
26 O 0.236 0.075 0.425
27 O 0.382 0.478 0.926
28 O 0.425 0.484 0.599
29 O 0.438 0.238 0.784
30 O 0.514 0.112 0.263
31 O 0.516 0.940 0.599
32 O 0.522 0.904 0.926
33 O 0.568 0.772 0.269
34 O 0.598 0.486 0.263
35 O 0.762 0.200 0.784
36 O 0.778 0.910 0.743
37 O 0.800 0.562 0.784
38 O 0.824 0.765 0.095
39 O 0.839 0.764 0.425
40 O 0.888 0.402 0.263
41 O 0.925 0.161 0.425
42 O 0.942 0.176 0.095

Results
SG ... No. 143
Size of the total moment ... 0.34 μB/f.u.
Calculated volume ... 461.03 Å³ per cell
Formation energy without anion corrections ... -2.184 eV/atom

Entry 6:
Below is BeAlPt2 after structural relaxation, with properties calculated at the PBEsol level.

Cell lengths 4.348, 4.348, 4.348 Å; angles 126.35, 126.35, 79.31 degrees
Element x y z (fractional)
1 Be 0.000 0.000 0.000
2 Al 0.500 0.500 0.000
3 Pt 0.250 0.750 0.500
4 Pt 0.750 0.250 0.500

Results
SG ... No. 139
Calculated formation energy ... -3.35 eV per formula unit
Size of the total moment ... 0.00 μB/f.u.
Calculated volume ... 51.55 Å³ per cell

Entry 7:
Below is ZnSi2Mo after structural relaxation, with properties calculated at the PBEsol level.

Cell lengths 7.994, 7.994, 7.994 Å; angles 21.27, 21.27, 21.27 degrees
Element x y z (fractional)
1 Zn 0.000 0.000 0.000
2 Si 0.247 0.247 0.247
3 Si 0.753 0.753 0.753
4 Mo 0.500 0.500 0.500

Results
SG ... No. 166
Size of the total moment ... 0.00 μB/f.u.
Calculated volume ... 58.90 Å³ per cell
Formation energy without anion corrections ... -0.001 eV/atom

Entry 8:
Below is ScCo2Ir after structural relaxation, with properties calculated at the PBEsol level.

Cell lengths 4.039, 4.890, 4.890 Å; angles 32.80, 90.00, 90.00 degrees
Element x y z (fractional)
1 Sc 0.000 0.000 0.000
2 Co 0.000 0.737 0.737
3 Co 0.500 0.595 0.595
4 Ir 0.500 0.317 0.317

Results
SG ... No. 38
Calculated formation energy ... -0.79 eV per formula unit
Size of the total moment ... 1.20 μB/f.u.
Calculated volume ... 52.31 Å³ per cell

Entry 9:
Below is ZnCu after structural relaxation, with properties calculated at the PBEsol level.

Cell lengths 2.599, 2.599, 8.502 Å; angles 90.00, 90.00, 120.00 degrees
Element x y z (fractional)
1 Zn 0.333 0.667 0.136
2 Zn 0.667 0.333 0.864
3 Cu 0.333 0.667 0.618
4 Cu 0.667 0.333 0.382

Results
SG ... No. 164
Calculated formation energy ... -0.08 eV per formula unit
Size of the total moment ... 0.00 μB/f.u.
Calculated volume ... 49.75 Å³ per cell

Entry 10:
Below is HfMnN3 after structural relaxation, with properties calculated at the PBEsol level.

Cell lengths 4.125, 4.125, 4.125 Å; angles 90.00, 90.00, 90.00 degrees
Element x y z (fractional)
1 Hf 0.000 0.000 0.000
2 Mn 0.500 0.500 0.500
3 N 0.000 0.000 0.500
4 N 0.000 0.500 0.000
5 N 0.500 0.000 0.000

Results
SG ... No. 221
Size of the total moment ... 2.40 μB/f.u.
Calculated volume ... 70.19 Å³ per cell
Formation energy without anion corrections ... 0.606 eV/atom

Entry 11:
Below is Sr2ZnSi3 after structural relaxation, with properties calculated at the PBEsol level.

Cell lengths 8.472, 8.209, 6.175 Å; angles 70.56, 66.02, 43.42 degrees
Element x y z (fractional)
1 Sr 0.244 0.756 0.244
2 Sr 0.250 0.250 0.250
3 Sr 0.750 0.750 0.750
4 Sr 0.756 0.244 0.756
5 Zn 0.334 0.334 0.666
6 Zn 0.666 0.666 0.334
7 Si 0.166 0.166 0.834
8 Si 0.167 0.667 0.833
9 Si 0.333 0.833 0.667
10 Si 0.667 0.167 0.333
11 Si 0.833 0.333 0.167
12 Si 0.834 0.834 0.166

Results
SG ... No. 69
Size of the total moment ... 0.00 μB/f.u.
Calculated volume ... 269.24 Å³ per cell
Formation energy without anion corrections ... -0.481 eV/atom

Entry 12:
Below is Ag2POs after structural relaxation, with properties calculated at the PBEsol level.

Cell lengths 9.170, 9.170, 9.170 Å; angles 17.45, 17.45, 17.45 degrees
Element x y z (fractional)
1 Ag 0.248 0.248 0.248
2 Ag 0.752 0.752 0.752
3 P 0.500 0.500 0.500
4 Os 0.000 0.000 0.000

Results
SG ... No. 166
Calculated formation energy ... 2.24 eV per formula unit
Size of the total moment ... 0.00 μB/f.u.
Calculated volume ... 60.52 Å³ per cell

no.,energy (eV per atom)
1,-3.22
2,-2.01
3,-1.90
4,-8.01
5,-6.74
6,-6.34
7,-6.21
8,-8.17
9,-3.00
10,-8.56
11,-4.23
12,-5.60